Crystalline CrReO3 at its relaxed geometry, computed with GGA+U.

Lattice parameters (Å, degrees): 3.8719 3.8719 3.8719 90.00 90.00 90.00
With the nearest neighbours (Å) after each atom.
Fractional positions:
Re (0.0000, 0.0000, 0.0000)  6 O 1.94
O (0.0000, 0.5000, 0.0000)  2 Re 1.94
O (0.0000, 0.0000, 0.5000)  2 Re 1.94
O (0.5000, 0.0000, 0.0000)  2 Re 1.94
Cr (0.5000, 0.5000, 0.5000)  12 O 2.74

Summary:
Uncorrected energy: -40.142 eV/cell
DOS at the Fermi energy: 1.86 states/eV/cell
Mass density: 8.2 g/cm3